Here is a relaxed CrTe2MoN crystal from Alexandria via LeMat-Bulk. Energies are from GGA-PBE.

Cell: 5.4138 5.4138 3.7686 Å, 90.00 90.00 90.00°
Closest atoms and distances in Å follow each position.
Space group P4/mmm (No. 123)
One atom of each set of equivalent atoms:
1 Cr 0.0000 0.0000 0.0000 [1 per cell]  8 Te 3.30
2 Te 0.0000 0.5000 0.5000 [2 per cell]  2 Mo 2.71
3 Mo 0.5000 0.5000 0.5000 [1 per cell]  2 N 1.88
4 N 0.5000 0.5000 0.0000 [1 per cell]  2 Mo 1.88

- DOS(E_F): 1.031 states/eV/atom
- Energy relative to the elements, uncorrected: 865 meV per atom
- Total magnetic moment: 0.0 μB/cell
- Polymorph energy (0 for the lowest one): 31.1 kJ/mol of atoms
- V: 22.09 Å³/atom